[1]
First-principles (PBE) data for an optimized crystal structure of Tc3WN, as listed in Alexandria.

abc: 4.7261 4.7261 4.7261
angles: 90.00 90.00 90.00
With the nearest neighbours (Å) after each atom.
Atoms (fractional coordinates):
Tc: 0.0000 0.0000 0.5000  2 W 2.36
Tc: 0.0000 0.5000 0.0000  2 W 2.36
Tc: 0.5000 0.0000 0.0000  2 W 2.36
W: 0.0000 0.0000 0.0000  6 Tc 2.36
N: 0.5000 0.5000 0.5000  12 Tc 3.34

The calculated density is 7737 kg/m³. As for the total energy: -37.70 eV per cell. As for the space-group type: Pm-3m (221). The raw formation energy is 2.935 eV per atom. The energy above the most stable polymorph in this dataset comes out at 2916 meV per atom.

[2]
First-principles (PBE) data for an optimized crystal structure of TcWN3, as listed in Alexandria.

abc: 3.9421 3.9421 3.9421
angles: 90.00 90.00 90.00
With the nearest neighbours (Å) after each atom.
Atoms (fractional coordinates):
Tc: 0.0000 0.0000 0.0000  12 N 2.79
W: 0.5000 0.5000 0.5000  6 N 1.97
N: 0.0000 0.5000 0.5000  2 W 1.97
N: 0.5000 0.0000 0.5000  2 W 1.97
N: 0.5000 0.5000 0.0000  2 W 1.97

The calculated density is 8778 kg/m³. As for the total energy: -43.73 eV per cell. As for the space-group type: Pm-3m (221). The raw formation energy is 0.913 eV per atom.

[3]
First-principles (PBE) data for an optimized crystal structure of TcW3N, as listed in Alexandria.

abc: 4.1166 4.1166 4.1166
angles: 90.00 90.00 90.00
With the nearest neighbours (Å) after each atom.
Atoms (fractional coordinates):
Tc: 0.0000 0.0000 0.0000  12 W 2.91
W: 0.0000 0.5000 0.5000  2 N 2.06
W: 0.5000 0.0000 0.5000  2 N 2.06
W: 0.5000 0.5000 0.0000  2 N 2.06
N: 0.5000 0.5000 0.5000  6 W 2.06

The calculated density is 15794 kg/m³. As for the total energy: -57.28 eV per cell. As for the space-group type: Pm-3m (221). The raw formation energy is 0.054 eV per atom. The energy above the most stable polymorph in this dataset comes out at 0 meV per atom.

[4]
First-principles (PBE) data for an optimized crystal structure of Y3TcN, as listed in Alexandria.

abc: 4.7202 4.7202 4.7202
angles: 90.00 90.00 90.00
With the nearest neighbours (Å) after each atom.
Atoms (fractional coordinates):
Y: 0.0000 0.0000 0.5000  2 N 2.36
Y: 0.0000 0.5000 0.0000  2 N 2.36
Y: 0.5000 0.0000 0.0000  2 N 2.36
Tc: 0.5000 0.5000 0.5000  12 Y 3.34
N: 0.0000 0.0000 0.0000  6 Y 2.36

The calculated density is 5980 kg/m³. As for the total energy: -40.52 eV per cell. As for the space-group type: Pm-3m (221). The raw formation energy is -0.487 eV per atom. The energy above the most stable polymorph in this dataset comes out at 0 meV per atom.

[5]
First-principles (PBE) data for an optimized crystal structure of YTc3N, as listed in Alexandria.

abc: 4.2043 4.2043 4.2043
angles: 90.00 90.00 90.00
With the nearest neighbours (Å) after each atom.
Atoms (fractional coordinates):
Y: 0.0000 0.0000 0.0000  12 Tc 2.97
Tc: 0.0000 0.5000 0.5000  2 N 2.10
Tc: 0.5000 0.0000 0.5000  2 N 2.10
Tc: 0.5000 0.5000 0.0000  2 N 2.10
N: 0.5000 0.5000 0.5000  6 Tc 2.10

The calculated density is 8869 kg/m³. As for the total energy: -46.05 eV per cell. As for the space-group type: Pm-3m (221). The raw formation energy is -0.033 eV per atom.

[6]
First-principles (PBE) data for an optimized crystal structure of Y2TcN2, as listed in Alexandria.

abc: 5.2244 5.2244 3.7627
angles: 90.00 90.00 90.00
With the nearest neighbours (Å) after each atom.
Atoms (fractional coordinates):
Y: 0.0000 0.5000 0.0000  2 Tc 2.61
Y: 0.5000 0.0000 0.0000  2 Tc 2.61
Tc: 0.0000 0.0000 0.0000  2 N 1.88
N: 0.0000 0.0000 0.5000  2 Tc 1.88
N: 0.5000 0.5000 0.5000  8 Y 3.22

The calculated density is 4913 kg/m³. As for the total energy: -37.22 eV per cell. As for the space-group type: P4/mmm (123). The raw formation energy is 0.545 eV per atom.